(1)
The following is a DFT calculation (meta-GGA SCAN) of KTlCu2 at its PBEsol-relaxed geometry.

The structure belongs to space group P4mm (No. 99); the cell edges are 3.2739, 3.2739 and 7.9186 Å and the angles 90.00°, 90.00° and 90.00°. Symmetry generates all atoms from K at (0.0000, 0.0000, 0.0000), Tl at (0.5000, 0.5000, 0.3498), Cu at (0.0000, 0.0000, 0.5898) and Cu at (0.5000, 0.5000, 0.6876).

The total energy comes out at -27.552 eV/atom. The calculation puts the formation energy at 0.219 eV per atom. The energy above the most stable polymorph in this dataset is 0 meV per atom.

(2)
The following is a DFT calculation (meta-GGA SCAN) of K2TlCu at its PBEsol-relaxed geometry.

The structure belongs to space group Fm-3m (No. 225); the cell edges are 8.0757, 8.0757 and 8.0757 Å and the angles 90.00°, 90.00° and 90.00°. Symmetry generates all atoms from K at (0.2500, 0.2500, 0.2500), Tl at (0.0000, 0.0000, 0.0000) and Cu at (0.0000, 0.0000, 0.5000).

The total energy comes out at -25.708 eV/atom. The calculation puts the formation energy at 0.346 eV per atom. The energy above the most stable polymorph in this dataset is 265 meV per atom.

(3)
The following is a DFT calculation (meta-GGA SCAN) of K2TlCu at its PBEsol-relaxed geometry.

The structure belongs to space group Amm2 (No. 38); the cell edges are 4.5916, 5.1264 and 12.1822 Å and the angles 90.00°, 90.00° and 90.00°. Symmetry generates all atoms from K at (0.0000, 0.0000, 0.0000), K at (0.5000, 0.0000, 0.3005), Tl at (0.0000, 0.0000, 0.6990) and Cu at (0.5000, 0.0000, 0.6016).

The total energy comes out at -25.973 eV/atom. The calculation puts the formation energy at 0.081 eV per atom. The energy above the most stable polymorph in this dataset is 0 meV per atom.

(4)
The following is a DFT calculation (meta-GGA SCAN) of KTl2Cu at its PBEsol-relaxed geometry.

The structure belongs to space group Imm2 (No. 44); the cell edges are 4.3364, 5.4369 and 9.1569 Å and the angles 90.00°, 90.00° and 90.00°. Symmetry generates all atoms from K at (0.0000, 0.0000, 0.0000), Tl at (0.0000, 0.0000, 0.5557), Tl at (0.0000, 0.5000, 0.7902) and Cu at (0.0000, 0.5000, 0.2211).

The total energy comes out at -41.860 eV/atom. The calculation puts the formation energy at 0.202 eV per atom.